The following is a DFT calculation (PBE-GGA) of crystalline SrErSi2 at its relaxed geometry.

Calculated values
Total energy = -4.8056 eV per atom
Volume = 96 Å³ per cell
Space group = No. 38

Structure (extended XYZ):
```
4
Lattice="-0.802 -3.700 0.887 -2.048 1.728 5.358 -5.268 1.692 2.296" Properties=species:S:1:pos:R:3 pbc="T T T"
Sr -1.476 -1.348 1.568
Si -3.508 -0.397 3.695
Si -4.110 1.921 4.300
Er -6.340 2.964 6.633
```